Below is a geometry-optimized ZnHgPO structure, with properties calculated at the PBE level.

The structure in CIF format:
```
data_ZnHgPO
_space_group_name_H-M_alt 'P 1'
_space_group_IT_number 1
_space_group_name_Hall 'P 1'
_cell_length_a 3.248
_cell_length_b 7.101
_cell_length_c 6.192
_cell_angle_alpha 90.00
_cell_angle_beta 90.00
_cell_angle_gamma 90.00
loop_
_atom_site_label
_atom_site_fract_x
_atom_site_fract_y
_atom_site_fract_z
Hg1 0.000 0.169 0.470
Hg2 0.000 0.831 0.970
O1 0.500 0.391 0.357
O2 0.500 0.609 0.857
P1 0.000 0.828 0.385
P2 0.000 0.172 0.885
Zn1 0.500 0.387 0.042
Zn2 0.500 0.613 0.542
```

Summary:
Density (Mg/m³): 7.28
Space-group type: Pmc2_1
Crystal system: orthorhombic
Energy relative to the lowest polymorph listed for this composition (meV/atom): 13
Uncorrected energy (eV/atom): -3.242